No. 1
Compound: LaNd4Ho3
Source: Alexandria via LeMat-Bulk
Functional: GGA-PBE
Structure: relaxed

Calculated values
- final energy (eV/atom) = -4.588
- V (Å³ per cell) = 543.9
- relative energy among the computed polymorphs (eV per atom) = 0.097
- mass density (g/cm³) = 7.392
- DOS(E_F) (states/eV per cell) = 29.334
- crystal system = orthorhombic
- energy of formation (kJ/mol of atoms) = 12.4

abc: 3.506 11.809 13.137
angles: 90.00 90.00 90.00
Space group Immm (No. 71)
One atom of each set of equivalent atoms:
La 0.000 0.000 0.000 x2
Nd 0.000 0.251 0.134 x8
Ho 0.000 0.000 0.500 x2
Ho 0.000 0.500 0.259 x4

No. 2
Compound: La5Nd2Ho4
Source: Alexandria via LeMat-Bulk
Functional: GGA-PBE
Structure: relaxed

Calculated values
- final energy (eV/atom) = -4.699
- V (Å³ per cell) = 760.3
- relative energy among the computed polymorphs (eV per atom) = 0.000
- mass density (g/cm³) = 7.176
- DOS(E_F) (states/eV per cell) = 32.469
- crystal system = monoclinic
- energy of formation (kJ/mol of atoms) = 7.0

abc: 18.019 3.579 11.814
angles: 90.00 93.81 90.00
Space group C2/m (No. 12)
One atom of each set of equivalent atoms:
La 0.000 0.000 0.000 x2
La 0.095 0.500 0.533 x4
La 0.176 0.500 0.072 x4
Nd 0.217 0.000 0.350 x4
Ho 0.032 0.500 0.260 x4
Ho 0.140 0.000 0.799 x4

No. 3
Compound: LaNd12Ho5
Source: Alexandria via LeMat-Bulk
Functional: GGA-PBE
Structure: relaxed

Calculated values
- final energy (eV/atom) = -4.714
- V (Å³ per cell) = 1230.3
- mass density (g/cm³) = 7.273
- DOS(E_F) (states/eV per cell) = 44.561
- crystal system = monoclinic
- energy of formation (kJ/mol of atoms) = 0.9

abc: 6.325 10.951 17.889
angles: 90.00 96.80 90.00
Space group C2/m (No. 12)
One atom of each set of equivalent atoms:
La 0.000 0.000 0.000 x2
Nd 0.112 0.000 0.336 x4
Nd 0.112 0.333 0.336 x8
Nd 0.220 0.500 0.166 x4
Nd 0.224 0.168 0.166 x8
Ho 0.000 0.166 0.500 x4
Ho 0.000 0.333 0.000 x4
Ho 0.000 0.500 0.500 x2

No. 4
Compound: LaNd6Ho6
Source: Alexandria via LeMat-Bulk
Functional: GGA-PBE
Structure: relaxed

Calculated values
- final energy (eV/atom) = -4.450
- V (Å³ per cell) = 453.5
- mass density (g/cm³) = 7.300
- DOS(E_F) (states/eV per cell) = 27.235
- crystal system = hexagonal
- energy of formation (kJ/mol of atoms) = 23.4

abc: 6.7472 6.7472 11.5034
angles: 90.00 90.00 120.00
Space group P6/mmm (No. 191)
One atom of each set of equivalent atoms:
La 0.0000 0.0000 0.0000 x1
Nd 0.0000 0.0000 0.3497 x2
Nd 0.3333 0.6667 0.0000 x2
Nd 0.3333 0.6667 0.5000 x2
Ho 0.0000 0.5000 0.2485 x6

No. 5
Compound: La8Nd2Ho
Source: Alexandria via LeMat-Bulk
Functional: GGA-PBE
Structure: relaxed

Calculated values
- final energy (eV/atom) = -4.853
- V (Å³ per cell) = 790.3
- relative energy among the computed polymorphs (eV per atom) = 0.000
- mass density (g/cm³) = 6.576
- DOS(E_F) (states/eV per cell) = 39.369
- crystal system = monoclinic
- energy of formation (kJ/mol of atoms) = 1.4

abc: 18.849 5.250 8.275
angles: 90.00 105.18 90.00
Space group C2/m (No. 12)
One atom of each set of equivalent atoms:
La 0.046 0.000 0.228 x4
La 0.090 0.500 0.952 x4
La 0.136 0.000 0.681 x4
La 0.181 0.500 0.412 x4
Nd 0.226 0.000 0.136 x4
Ho 0.000 0.500 0.500 x2

No. 6
Compound: La4Nd3Ho5
Source: Alexandria via LeMat-Bulk
Functional: GGA-PBE
Structure: relaxed

Calculated values
- final energy (eV/atom) = -4.532
- V (Å³ per cell) = 838.8
- mass density (g/cm³) = 7.178
- DOS(E_F) (states/eV per cell) = 40.480
- crystal system = monoclinic
- energy of formation (kJ/mol of atoms) = 20.2

abc: 16.324 6.067 9.541
angles: 90.00 117.42 90.00
Space group C2/m (No. 12)
One atom of each set of equivalent atoms:
La 0.088 0.000 0.450 x4
La 0.212 0.000 0.889 x4
Nd 0.000 0.500 0.000 x2
Nd 0.217 0.000 0.242 x4
Ho 0.000 0.000 0.000 x2
Ho 0.068 0.500 0.701 x4
Ho 0.169 0.500 0.375 x4

No. 7
Compound: LaNd3Ho3
Source: Alexandria via LeMat-Bulk
Functional: GGA-PBE
Structure: relaxed

Calculated values
- final energy (eV/atom) = -4.681
- V (Å³ per cell) = 476.5
- relative energy among the computed polymorphs (eV per atom) = 0.000
- mass density (g/cm³) = 7.433
- DOS(E_F) (states/eV per cell) = 24.052
- crystal system = hexagonal
- energy of formation (kJ/mol of atoms) = 2.7

abc: 9.7177 9.7177 5.8260
angles: 90.00 90.00 120.00
Space group P6_3/m (No. 176)
One atom of each set of equivalent atoms:
La 0.3333 0.6667 0.2500 x2
Nd 0.0952 0.4742 0.7500 x6
Ho 0.0451 0.2312 0.2500 x6

No. 8
Compound: LaNd3Ho
Source: Alexandria via LeMat-Bulk
Functional: GGA-PBE
Structure: relaxed

Calculated values
- final energy (eV/atom) = -4.448
- V (Å³ per cell) = 728.9
- relative energy among the computed polymorphs (eV per atom) = 0.136
- mass density (g/cm³) = 6.712
- DOS(E_F) (states/eV per cell) = 17.554
- crystal system = orthorhombic
- energy of formation (kJ/mol of atoms) = 30.3

abc: 8.226 14.116 6.277
angles: 90.00 90.00 90.00
Space group Cmcm (No. 63)
One atom of each set of equivalent atoms:
La 0.000 0.202 0.250 x4
Nd 0.000 0.000 0.000 x4
Nd 0.197 0.402 0.250 x8
Ho 0.000 0.340 0.750 x4

No. 9
Compound: La11Nd4Ho9
Source: Alexandria via LeMat-Bulk
Functional: GGA-PBE
Structure: relaxed

Calculated values
- final energy (eV/atom) = -4.701
- V (Å³ per cell) = 1671.4
- mass density (g/cm³) = 7.132
- DOS(E_F) (states/eV per cell) = 70.039
- crystal system = orthorhombic
- energy of formation (kJ/mol of atoms) = 6.6

abc: 17.175 25.968 3.747
angles: 90.00 90.00 90.00
Space group Cmmm (No. 65)
One atom of each set of equivalent atoms:
La 0.000 0.000 0.000 x2
La 0.000 0.159 0.000 x4
La 0.000 0.367 0.000 x4
La 0.210 0.500 0.000 x4
La 0.226 0.181 0.000 x8
Nd 0.156 0.399 0.500 x8
Ho 0.000 0.500 0.500 x2
Ho 0.101 0.265 0.500 x8
Ho 0.139 0.073 0.500 x8

No. 10
Compound: LaNd2Ho5
Source: Alexandria via LeMat-Bulk
Functional: GGA-PBE
Structure: relaxed

Calculated values
- final energy (eV/atom) = -4.646
- V (Å³ per cell) = 524.9
- relative energy among the computed polymorphs (eV per atom) = 0.000
- mass density (g/cm³) = 7.922
- DOS(E_F) (states/eV per cell) = 22.731
- crystal system = orthorhombic
- energy of formation (kJ/mol of atoms) = 2.2

abc: 7.176 14.373 5.089
angles: 90.00 90.00 90.00
Space group Pbam (No. 55)
One atom of each set of equivalent atoms:
La 0.000 0.000 0.000 x2
Nd 0.246 0.374 0.500 x4
Ho 0.000 0.500 0.000 x2
Ho 0.004 0.748 0.000 x4
Ho 0.248 0.126 0.500 x4

No. 11
Compound: La5Nd2Ho
Source: Alexandria via LeMat-Bulk
Functional: GGA-PBE
Structure: relaxed

Calculated values
- final energy (eV/atom) = -4.739
- V (Å³ per cell) = 1170.5
- mass density (g/cm³) = 6.514
- DOS(E_F) (states/eV per cell) = 46.398
- crystal system = orthorhombic
- energy of formation (kJ/mol of atoms) = 10.1

abc: 5.751 12.204 16.677
angles: 90.00 90.00 90.00
Space group Cmcm (No. 63)
One atom of each set of equivalent atoms:
La 0.000 0.034 0.250 x4
La 0.000 0.114 0.553 x8
La 0.000 0.422 0.594 x8
Nd 0.000 0.276 0.134 x8
Ho 0.000 0.248 0.750 x4

No. 12
Compound: La8NdHo6
Source: Alexandria via LeMat-Bulk
Functional: GGA-PBE
Structure: relaxed

Calculated values
- final energy (eV/atom) = -4.608
- V (Å³ per cell) = 519.4
- mass density (g/cm³) = 7.178
- DOS(E_F) (states/eV per cell) = 26.302
- crystal system = trigonal
- energy of formation (kJ/mol of atoms) = 16.3

abc: 9.4888 9.4888 6.6609
angles: 90.00 90.00 120.00
Space group P-3 (No. 147)
One atom of each set of equivalent atoms:
La 0.0467 0.7529 0.3296 x6
La 0.3333 0.6667 0.3774 x2
Nd 0.0000 0.0000 0.0000 x1
Ho 0.0997 0.6583 0.8443 x6

> What is the energy of formation in the first record?

12.4 kJ/mol of atoms

> mass density of number 7 (LaNd3Ho3)?

7.433 g/cm³

Repeat the fourth record exactly.
Compound: LaNd6Ho6
Source: Alexandria via LeMat-Bulk
Functional: GGA-PBE
Structure: relaxed

Calculated values
- final energy (eV/atom) = -4.450
- V (Å³ per cell) = 453.5
- mass density (g/cm³) = 7.300
- DOS(E_F) (states/eV per cell) = 27.235
- crystal system = hexagonal
- energy of formation (kJ/mol of atoms) = 23.4

abc: 6.7472 6.7472 11.5034
angles: 90.00 90.00 120.00
Space group P6/mmm (No. 191)
One atom of each set of equivalent atoms:
La 0.0000 0.0000 0.0000 x1
Nd 0.0000 0.0000 0.3497 x2
Nd 0.3333 0.6667 0.0000 x2
Nd 0.3333 0.6667 0.5000 x2
Ho 0.0000 0.5000 0.2485 x6